Material: Dy9TmIn2
Method: DFT, PBE
State: optimized geometry

Unit cell a=4.865 b=4.865 c=14.858 alpha=90.00 beta=90.00 gamma=90.00
Sites, in units of the cell vectors:
Dy (0.500, 0.500, 0.664)
Dy (0.000, 0.500, 0.500)
Tm (0.000, 0.000, 0.000)
Dy (0.500, 0.500, 0.000)
Dy (0.000, 0.500, 0.171)
In (0.000, 0.000, 0.661)
Dy (0.500, 0.000, 0.500)
Dy (0.500, 0.000, 0.829)
In (0.000, 0.000, 0.339)
Dy (0.000, 0.500, 0.829)
Dy (0.500, 0.500, 0.336)
Dy (0.500, 0.000, 0.171)

Output
Density (g/cm3): 8.79
V (Å³ per atom): 29.3
Energy of formation (eV per atom): -0.167